# NiPSe2 (GGA-PBEsol, relaxed)
# Formation energy from raw total energies: 0.421 eV per atom
data_NiPSe2
_space_group_name_H-M_alt 'I -4 m 2'
_space_group_IT_number 119
_space_group_name_Hall 'I -4 -2'
_cell_length_a 3.400
_cell_length_b 3.400
_cell_length_c 13.952
_cell_angle_alpha 90.00
_cell_angle_beta 90.00
_cell_angle_gamma 90.00
loop_
_atom_site_label
_atom_site_type_symbol
_atom_site_fract_x
_atom_site_fract_y
_atom_site_fract_z
_atom_site_occupancy
Ni1 Ni 0.000 0.000 0.000 1
P1 P 0.000 0.500 0.250 1
Se1 Se 0.000 0.000 0.500 1
Se2 Se 0.000 0.500 0.750 1


# InTcIr4 (GGA-PBEsol, relaxed)
# ΔH_f (0 K): 47.0 kJ/mol of atoms
data_InTcIr4
_space_group_name_H-M_alt 'F -4 3 m'
_space_group_IT_number 216
_space_group_name_Hall 'F -4 2 3'
_cell_length_a 7.262
_cell_length_b 7.262
_cell_length_c 7.262
_cell_angle_alpha 90.00
_cell_angle_beta 90.00
_cell_angle_gamma 90.00
loop_
_atom_site_label
_atom_site_type_symbol
_atom_site_fract_x
_atom_site_fract_y
_atom_site_fract_z
_atom_site_occupancy
In1 In 0.000 0.000 0.000 1
Tc1 Tc 0.250 0.250 0.750 1
Ir1 Ir 0.125 0.125 0.375 1


# K2AlCd (GGA-PBEsol, relaxed)
# ΔH_f (0 K): 39.5 kJ/mol of atoms
data_K2AlCd
_space_group_name_H-M_alt 'I -4 2 d'
_space_group_IT_number 122
_space_group_name_Hall 'I -4 2bw'
_cell_length_a 9.485
_cell_length_b 9.485
_cell_length_c 6.196
_cell_angle_alpha 90.00
_cell_angle_beta 90.00
_cell_angle_gamma 90.00
loop_
_atom_site_label
_atom_site_type_symbol
_atom_site_fract_x
_atom_site_fract_y
_atom_site_fract_z
_atom_site_occupancy
K1 K 0.243 0.250 0.125 1
Al1 Al 0.000 0.000 0.500 1
Cd1 Cd 0.000 0.000 0.000 1


# Sr3PrMn2O8 (GGA-PBEsol, relaxed)
# Formation energy from raw total energies: -2.609 eV per atom
data_Sr3PrMn2O8
_space_group_name_H-M_alt 'A m m 2'
_space_group_IT_number 38
_space_group_name_Hall 'A 2 -2'
_cell_length_a 5.407
_cell_length_b 5.408
_cell_length_c 12.249
_cell_angle_alpha 90.00
_cell_angle_beta 90.00
_cell_angle_gamma 90.00
loop_
_atom_site_label
_atom_site_type_symbol
_atom_site_fract_x
_atom_site_fract_y
_atom_site_fract_z
_atom_site_occupancy
Sr1 Sr 0.000 0.000 0.000 1
Sr2 Sr 0.000 0.000 0.285 1
Sr3 Sr 0.500 0.000 0.497 1
Pr1 Pr 0.500 0.000 0.779 1
Mn1 Mn 0.000 0.000 0.639 1
Mn2 Mn 0.500 0.000 0.139 1
O1 O 0.000 0.000 0.484 1
O2 O 0.000 0.000 0.801 1
O3 O 0.255 0.246 0.644 1
O4 O 0.500 0.000 0.299 1
O5 O 0.500 0.000 0.974 1


# MgMo2As (GGA-PBEsol, relaxed)
# ΔH_f (0 K): 18.2 kJ/mol of atoms
data_MgMo2As
_space_group_name_H-M_alt 'I m m m'
_space_group_IT_number 71
_space_group_name_Hall '-I 2 2'
_cell_length_a 3.198
_cell_length_b 4.518
_cell_length_c 8.732
_cell_angle_alpha 90.00
_cell_angle_beta 90.00
_cell_angle_gamma 90.00
loop_
_atom_site_label
_atom_site_type_symbol
_atom_site_fract_x
_atom_site_fract_y
_atom_site_fract_z
_atom_site_occupancy
Mg1 Mg 0.000 0.000 0.000 1
Mo1 Mo 0.000 0.500 0.231 1
As1 As 0.000 0.000 0.500 1


# KLiDy2Mo4O16 (GGA-PBEsol, relaxed)
# Formation energy from raw total energies: -2.455 eV per atom
data_KLiDy2Mo4O16
_space_group_name_H-M_alt 'C 1 2/c 1'
_space_group_IT_number 15
_space_group_name_Hall '-C 2yc'
_cell_length_a 5.156
_cell_length_b 12.454
_cell_length_c 19.329
_cell_angle_alpha 90.00
_cell_angle_beta 93.55
_cell_angle_gamma 90.00
loop_
_atom_site_label
_atom_site_type_symbol
_atom_site_fract_x
_atom_site_fract_y
_atom_site_fract_z
_atom_site_occupancy
K1 K 0.000 0.034 0.250 1
Li1 Li 0.000 0.315 0.250 1
Dy1 Dy 0.001 0.147 0.468 1
Mo1 Mo 0.010 0.254 0.647 1
Mo2 Mo 0.017 0.438 0.092 1
O1 O 0.116 0.410 0.330 1
O2 O 0.137 0.134 0.829 1
O3 O 0.163 0.331 0.042 1
O4 O 0.181 0.237 0.567 1
O5 O 0.224 0.450 0.602 1
O6 O 0.228 0.293 0.714 1
O7 O 0.239 0.019 0.537 1
O8 O 0.248 0.347 0.868 1


# NiOsRh2 (GGA-PBEsol, relaxed)
# ΔH_f (0 K): 4.6 kJ/mol of atoms
data_NiOsRh2
_space_group_name_H-M_alt 'I 4/m m m'
_space_group_IT_number 139
_space_group_name_Hall '-I 4 2'
_cell_length_a 3.700
_cell_length_b 3.700
_cell_length_c 7.516
_cell_angle_alpha 90.00
_cell_angle_beta 90.00
_cell_angle_gamma 90.00
loop_
_atom_site_label
_atom_site_type_symbol
_atom_site_fract_x
_atom_site_fract_y
_atom_site_fract_z
_atom_site_occupancy
Ni1 Ni 0.000 0.000 0.000 1
Os1 Os 0.000 0.000 0.500 1
Rh1 Rh 0.000 0.500 0.250 1


# LiCd2Ni (GGA-PBEsol, relaxed)
# ΔH_f (0 K): -14.5 kJ/mol of atoms
data_LiCd2Ni
_space_group_name_H-M_alt 'F m -3 m'
_space_group_IT_number 225
_space_group_name_Hall '-F 4 2 3'
_cell_length_a 6.243
_cell_length_b 6.243
_cell_length_c 6.243
_cell_angle_alpha 90.00
_cell_angle_beta 90.00
_cell_angle_gamma 90.00
loop_
_atom_site_label
_atom_site_type_symbol
_atom_site_fract_x
_atom_site_fract_y
_atom_site_fract_z
_atom_site_occupancy
Li1 Li 0.000 0.000 0.000 1
Cd1 Cd 0.250 0.250 0.250 1
Ni1 Ni 0.000 0.000 0.500 1


Number 1: total DFT energy (no corrections) -4.491 eV per atom, size of the total moment 0.00 μB per cell, calculated density 5.10 g/cm³. Number 2: total DFT energy (no corrections) -8.437 eV per atom, size of the total moment 7.18 μB per cell, calculated density 17.03 g/cm³. Number 3: total DFT energy (no corrections) -1.479 eV per atom, size of the total moment 0.00 μB per cell, calculated density 2.59 g/cm³. Number 4: total DFT energy (no corrections) -7.767 eV per atom, size of the total moment 13.60 μB per cell, calculated density 5.95 g/cm³. Number 5: total DFT energy (no corrections) -7.401 eV per atom, size of the total moment 0.00 μB per cell, calculated density 7.66 g/cm³. Number 6: total DFT energy (no corrections) -8.460 eV per atom, size of the total moment 0.00 μB per cell, calculated density 5.42 g/cm³. Number 7: total DFT energy (no corrections) -8.615 eV per atom, size of the total moment 0.00 μB per cell, calculated density 14.68 g/cm³. Number 8: total DFT energy (no corrections) -2.780 eV per atom, size of the total moment 0.00 μB per cell, calculated density 7.93 g/cm³.